Entry 1:
First-principles (PBE) data for a relaxed LiPdRh2N crystal, as listed in Alexandria via LeMat-Bulk.

Volume: 12.95 A^3/atom
ΔE_f (raw): -54 meV per atom
E: -6.08 eV per atom
DOS(E_F): 1.32 states/eV/atom
Magnetization: 0.6 μB/cell
ΔE to the lowest computed polymorph: 0.000 eV per atom

Cell and atoms, written as POSCAR:
```
LiPdRh2N
1.0
-3.386 2.024 0.387
-0.998 -2.263 3.098
1.873 2.648 2.538
Rh N Pd Li
2 1 1 1
Cartesian
-1.693 1.012 0.194
-0.499 -1.131 1.549
0.000 0.000 0.000
-1.256 1.205 3.012
0.937 1.324 1.269
```


Entry 2:
First-principles (PBE) data for a relaxed LiPdRh2N crystal, as listed in Alexandria via LeMat-Bulk.

Volume: 13.53 A^3/atom
ΔE_f (raw): -18 meV per atom
E: -6.04 eV per atom
DOS(E_F): 0.69 states/eV/atom
Magnetization: 0.0 μB/cell
ΔE to the lowest computed polymorph: 0.036 eV per atom

Cell and atoms, written as POSCAR:
```
LiPdRh2N
1.0
-1.614 -1.965 3.068
0.710 -3.460 -1.843
3.820 -0.214 1.873
N Rh Li Pd
1 2 1 1
Cartesian
0.000 0.000 0.000
-0.807 -0.983 1.534
0.355 -1.730 -0.922
1.458 -2.820 1.548
1.910 -0.107 0.936
```


Entry 3:
First-principles (PBE) data for a relaxed LiPdRuN2 crystal, as listed in Alexandria via LeMat-Bulk.

Volume: 14.99 A^3/atom
ΔE_f (raw): 639 meV per atom
E: -5.97 eV per atom
DOS(E_F): 0.48 states/eV/atom
Magnetization: 0.0 μB/cell

Cell and atoms, written as POSCAR:
```
LiPdRuN2
1.0
3.762 0.000 0.000
0.000 5.294 0.000
0.000 0.000 3.762
N Li Pd Ru
2 1 1 1
Cartesian
1.881 0.000 0.000
0.000 0.000 1.881
1.881 2.647 1.881
0.000 2.647 0.000
0.000 0.000 0.000
```


Entry 4:
First-principles (PBE) data for a relaxed LiPdS2N crystal, as listed in Alexandria via LeMat-Bulk.

Volume: 13.78 A^3/atom
ΔE_f (raw): 1075 meV per atom
E: -3.66 eV per atom
DOS(E_F): 0.90 states/eV/atom
Magnetization: 0.0 μB/cell
ΔE to the lowest computed polymorph: 0.540 eV per atom

Cell and atoms, written as POSCAR:
```
LiPdS2N
1.0
-3.147 0.819 3.067
2.111 -2.684 2.884
1.829 2.685 1.160
S Li N Pd
2 1 1 1
Cartesian
-1.574 0.409 1.533
1.056 -1.342 1.442
0.000 0.000 0.000
0.914 1.342 0.580
0.396 0.410 3.555
```


Entry 5:
First-principles (PBE) data for a relaxed LiPdS2N crystal, as listed in Alexandria via LeMat-Bulk.

Volume: 18.35 A^3/atom
ΔE_f (raw): 535 meV per atom
E: -4.20 eV per atom
DOS(E_F): 0.78 states/eV/atom
Magnetization: 1.0 μB/cell
ΔE to the lowest computed polymorph: 0.000 eV per atom

Cell and atoms, written as POSCAR:
```
LiPdS2N
1.0
-2.007 0.862 -4.472
1.111 -4.647 -1.394
-3.287 -1.161 1.251
N Li S Pd
1 1 2 1
Cartesian
-1.644 -0.581 0.626
-2.092 -2.473 -2.307
0.555 -2.323 -0.697
-1.003 0.431 -2.236
0.000 0.000 0.000
```


Entry 6:
First-principles (PBE) data for a relaxed Li2ScPdN crystal, as listed in Alexandria via LeMat-Bulk.

Volume: 13.89 A^3/atom
ΔE_f (raw): -665 meV per atom
E: -5.40 eV per atom
DOS(E_F): 0.26 states/eV/atom
Magnetization: 0.0 μB/cell

Cell and atoms, written as POSCAR:
```
Li2ScPdN
1.0
-0.923 -2.547 2.977
2.999 -2.428 -1.147
2.685 2.081 2.613
Li N Pd Sc
2 1 1 1
Cartesian
1.499 -1.214 -0.574
-0.462 -1.274 1.488
0.000 0.000 0.000
2.380 -1.447 2.221
1.342 1.041 1.307
```


Entry 7:
First-principles (PBE) data for a relaxed LiSc2PdN crystal, as listed in Alexandria via LeMat-Bulk.

Volume: 15.24 A^3/atom
ΔE_f (raw): -964 meV per atom
E: -6.58 eV per atom
DOS(E_F): 0.80 states/eV/atom
Magnetization: 0.0 μB/cell

Cell and atoms, written as POSCAR:
```
LiSc2PdN
1.0
-1.521 0.217 4.098
2.391 -3.505 1.073
3.032 2.375 1.000
Pd Li Sc N
1 1 2 1
Cartesian
1.951 -0.457 3.086
1.516 1.187 0.500
-0.761 0.109 2.049
1.196 -1.753 0.537
0.000 0.000 0.000
```


Entry 8:
First-principles (PBE) data for a relaxed LiPdSe2N crystal, as listed in Alexandria via LeMat-Bulk.

Volume: 20.40 A^3/atom
ΔE_f (raw): 406 meV per atom
E: -4.07 eV per atom
DOS(E_F): 0.82 states/eV/atom
Magnetization: 0.6 μB/cell
ΔE to the lowest computed polymorph: 0.000 eV per atom

Cell and atoms, written as POSCAR:
```
LiPdSe2N
1.0
-2.747 4.489 0.027
-4.472 -2.734 -0.476
-0.274 -0.190 3.667
Pd Li Se N
1 1 2 1
Cartesian
0.000 0.000 0.000
-3.747 0.783 1.609
-1.374 2.245 0.014
-2.236 -1.367 -0.238
-0.137 -0.095 1.833
```


Entry 9:
First-principles (PBE) data for a relaxed LiPdSe2N crystal, as listed in Alexandria via LeMat-Bulk.

Volume: 15.54 A^3/atom
ΔE_f (raw): 888 meV per atom
E: -3.59 eV per atom
DOS(E_F): 0.86 states/eV/atom
Magnetization: 0.8 μB/cell
ΔE to the lowest computed polymorph: 0.482 eV per atom

Cell and atoms, written as POSCAR:
```
LiPdSe2N
1.0
-0.868 -3.587 -2.998
4.438 -1.591 0.618
-1.062 -1.941 2.630
Pd N Li Se
1 1 1 2
Cartesian
1.254 -3.559 0.125
-0.531 -0.970 1.315
0.000 0.000 0.000
2.219 -0.795 0.309
-0.434 -1.794 -1.499
```


Entry 10:
First-principles (PBE) data for a relaxed Sr2LiPdN crystal, as listed in Alexandria via LeMat-Bulk.

Volume: 22.02 A^3/atom
ΔE_f (raw): -483 meV per atom
E: -4.24 eV per atom
DOS(E_F): 0.13 states/eV/atom
Magnetization: 0.0 μB/cell
ΔE to the lowest computed polymorph: 0.000 eV per atom

Cell and atoms, written as POSCAR:
```
Sr2LiPdN
1.0
-3.924 -3.473 -0.243
3.377 -3.886 1.011
-0.648 0.457 3.921
Sr N Pd Li
2 1 1 1
Cartesian
-1.962 -1.737 -0.122
1.688 -1.943 0.505
0.000 0.000 0.000
-0.598 -3.451 2.344
-0.324 0.229 1.960
```


Entry 11:
First-principles (PBE) data for a relaxed Sr2LiPdN crystal, as listed in Alexandria via LeMat-Bulk.

Volume: 23.50 A^3/atom
ΔE_f (raw): -269 meV per atom
E: -4.03 eV per atom
DOS(E_F): 0.84 states/eV/atom
Magnetization: 0.0 μB/cell
ΔE to the lowest computed polymorph: 0.214 eV per atom

Cell and atoms, written as POSCAR:
```
Sr2LiPdN
1.0
-0.841 -4.135 -3.331
5.167 0.139 -1.478
0.925 -2.596 2.989
Pd Li Sr N
1 1 2 1
Cartesian
0.462 -1.298 1.494
2.625 -3.296 -0.910
2.583 0.070 -0.739
-0.421 -2.068 -1.665
0.000 0.000 0.000
```


Entry 12:
First-principles (PBE) data for a relaxed LiTi2PdN crystal, as listed in Alexandria via LeMat-Bulk.

Volume: 13.06 A^3/atom
ΔE_f (raw): -820 meV per atom
E: -7.06 eV per atom
DOS(E_F): 0.54 states/eV/atom
Magnetization: 0.0 μB/cell
ΔE to the lowest computed polymorph: 0.000 eV per atom

Cell and atoms, written as POSCAR:
```
LiTi2PdN
1.0
4.095 0.000 0.000
0.000 3.895 0.000
0.000 0.000 4.095
Ti Li Pd N
2 1 1 1
Cartesian
2.047 0.000 0.000
0.000 0.000 2.047
0.000 1.947 0.000
2.047 1.947 2.047
0.000 0.000 0.000
```


Entry 13:
First-principles (PBE) data for a relaxed LiTi2PdN crystal, as listed in Alexandria via LeMat-Bulk.

Volume: 18.90 A^3/atom
ΔE_f (raw): 1255 meV per atom
E: -4.99 eV per atom
DOS(E_F): 1.35 states/eV/atom
Magnetization: 0.0 μB/cell
ΔE to the lowest computed polymorph: 2.075 eV per atom

Cell and atoms, written as POSCAR:
```
LiTi2PdN
1.0
-1.514 4.103 -1.730
-4.030 -1.408 0.189
-0.388 1.699 4.369
Li Ti Pd N
1 2 1 1
Cartesian
-2.015 -0.704 0.095
-0.757 2.051 -0.865
-0.194 0.849 2.184
0.000 0.000 0.000
-2.966 2.197 1.414
```


Entry 14:
First-principles (PBE) data for a relaxed LiTlPd2N crystal, as listed in Alexandria via LeMat-Bulk.

Volume: 14.75 A^3/atom
ΔE_f (raw): -23 meV per atom
E: -4.62 eV per atom
DOS(E_F): 0.37 states/eV/atom
Magnetization: 0.0 μB/cell

Cell and atoms, written as POSCAR:
```
LiTlPd2N
1.0
-2.083 2.624 -2.633
-3.306 0.073 2.687
1.621 3.200 1.907
Pd Tl Li N
2 1 1 1
Cartesian
-1.041 1.312 -1.316
-1.653 0.036 1.344
-1.884 2.948 0.981
0.811 1.600 0.954
0.000 0.000 0.000
```


Entry 15:
First-principles (PBE) data for a relaxed Li2YPdN crystal, as listed in Alexandria via LeMat-Bulk.

Volume: 15.79 A^3/atom
ΔE_f (raw): -620 meV per atom
E: -5.38 eV per atom
DOS(E_F): 0.36 states/eV/atom
Magnetization: 0.0 μB/cell

Cell and atoms, written as POSCAR:
```
Li2YPdN
1.0
4.117 0.000 0.000
0.000 4.117 0.000
0.000 0.000 4.657
Y N Pd Li
1 1 1 2
Cartesian
0.000 0.000 2.329
0.000 0.000 0.000
2.059 2.059 2.329
0.000 2.059 0.000
2.059 0.000 0.000
```


Entry 16:
First-principles (PBE) data for a relaxed LiZr2PdN crystal, as listed in Alexandria via LeMat-Bulk.

Volume: 15.48 A^3/atom
ΔE_f (raw): -848 meV per atom
E: -7.35 eV per atom
DOS(E_F): 0.43 states/eV/atom
Magnetization: 0.0 μB/cell

Cell and atoms, written as POSCAR:
```
LiZr2PdN
1.0
4.475 0.000 0.000
0.000 4.475 0.000
0.000 0.000 3.866
N Zr Pd Li
1 2 1 1
Cartesian
0.000 0.000 0.000
0.000 2.237 0.000
2.237 0.000 0.000
2.237 2.237 1.933
0.000 0.000 1.933
```


Entry 17:
First-principles (PBE) data for a relaxed LiPmN crystal, as listed in Alexandria via LeMat-Bulk.

Volume: 15.33 A^3/atom
ΔE_f (raw): -69 meV per atom
E: -5.07 eV per atom
DOS(E_F): 0.63 states/eV/atom
Magnetization: 0.0 μB/cell
ΔE to the lowest computed polymorph: 0.536 eV per atom

Cell and atoms, written as POSCAR:
```
LiPmN
1.0
-0.234 -3.378 1.528
2.590 -1.244 -2.355
1.202 3.134 2.597
Pm N Li
1 1 1
Cartesian
1.397 0.483 1.281
1.830 -2.086 0.185
3.175 -1.621 1.419
```


Entry 18:
First-principles (PBE) data for a relaxed LiPmN crystal, as listed in Alexandria via LeMat-Bulk.

Volume: 14.14 A^3/atom
ΔE_f (raw): -427 meV per atom
E: -5.42 eV per atom
DOS(E_F): 0.53 states/eV/atom
Magnetization: 1.7 μB/cell
ΔE to the lowest computed polymorph: 0.178 eV per atom

Cell and atoms, written as POSCAR:
```
LiPmN
1.0
-0.436 3.289 -0.789
-2.692 1.057 5.893
6.480 0.664 -0.815
Pm Li N
3 3 3
Cartesian
3.810 0.390 -0.479
-1.583 0.622 3.465
1.561 0.709 2.093
1.094 1.779 -0.560
2.803 3.017 3.655
-0.763 1.859 0.799
0.147 2.571 3.262
0.000 0.000 0.000
3.205 2.440 1.026
```


Entry 19:
First-principles (PBE) data for a relaxed LiPmN crystal, as listed in Alexandria via LeMat-Bulk.

Volume: 15.60 A^3/atom
ΔE_f (raw): -605 meV per atom
E: -5.60 eV per atom
DOS(E_F): 0.56 states/eV/atom
Magnetization: 0.0 μB/cell
ΔE to the lowest computed polymorph: 0.000 eV per atom

Cell and atoms, written as POSCAR:
```
LiPmN
1.0
4.045 0.000 0.000
2.023 3.503 0.000
2.023 1.168 3.303
Li Pm N
1 1 1
Cartesian
4.045 2.335 1.651
0.000 0.000 0.000
2.023 1.168 0.826
```


Entry 20:
First-principles (PBE) data for a relaxed LiPm2PuN4 crystal, as listed in Alexandria via LeMat-Bulk.

Volume: 15.00 A^3/atom
ΔE_f (raw): -1044 meV per atom
E: -8.42 eV per atom
DOS(E_F): 0.67 states/eV/atom
Magnetization: 3.0 μB/cell

Cell and atoms, written as POSCAR:
```
LiPm2PuN4
1.0
3.609 0.000 0.000
0.000 5.889 0.254
0.000 -1.913 5.562
N Pm Pu Li
4 2 1 1
Cartesian
1.805 2.968 4.399
0.000 -0.282 4.319
0.000 4.259 1.497
1.805 1.008 1.417
0.000 1.988 2.908
1.805 -0.956 2.781
0.000 0.000 0.000
1.805 2.945 0.127
```


Entry 21:
First-principles (PBE) data for a relaxed LiPmPu2N4 crystal, as listed in Alexandria via LeMat-Bulk.

Volume: 13.65 A^3/atom
ΔE_f (raw): -1160 meV per atom
E: -9.74 eV per atom
DOS(E_F): 1.40 states/eV/atom
Magnetization: 16.0 μB/cell

Cell and atoms, written as POSCAR:
```
LiPmPu2N4
1.0
-0.342 0.019 3.462
-5.423 -0.101 -2.283
0.175 -11.167 0.079
Pu N Pm Li
4 8 2 2
Cartesian
-4.039 -6.300 -0.364
-1.551 -4.949 1.622
-3.972 -10.586 -0.334
-1.619 -0.663 1.591
-2.916 -4.392 -0.264
-2.965 -1.289 -0.286
-4.834 -8.456 -0.431
-2.625 -9.960 1.543
-0.756 -2.792 1.688
0.087 -5.583 0.040
0.000 0.000 0.000
-2.674 -6.857 1.521
-1.044 -8.394 -0.057
-4.546 -2.855 1.314
-3.821 -8.428 1.417
-1.769 -2.821 -0.159
```


Entry 22:
First-principles (PBE) data for a relaxed Li2Pm2PuN4 crystal, as listed in Alexandria via LeMat-Bulk.

Volume: 13.31 A^3/atom
ΔE_f (raw): -916 meV per atom
E: -7.69 eV per atom
DOS(E_F): 0.56 states/eV/atom
Magnetization: 4.0 μB/cell

Cell and atoms, written as POSCAR:
```
Li2Pm2PuN4
1.0
-2.612 2.129 0.548
-2.135 -4.212 -4.445
-0.832 -2.398 5.353
N Li Pm Pu
4 2 2 1
Cartesian
-1.678 -1.914 -0.560
-3.442 -3.525 -2.709
-3.901 -2.567 2.015
-2.136 -0.955 4.164
-2.583 -0.119 -1.213
-2.996 -4.362 2.669
-1.452 -2.260 1.859
-4.126 -2.221 -0.403
0.000 0.000 0.000
```


Entry 23:
First-principles (PBE) data for a relaxed Li2PmReN4 crystal, as listed in Alexandria via LeMat-Bulk.

Volume: 12.88 A^3/atom
ΔE_f (raw): -754 meV per atom
E: -7.55 eV per atom
DOS(E_F): 0.00 states/eV/atom
Magnetization: 0.0 μB/cell

Cell and atoms, written as POSCAR:
```
Li2PmReN4
1.0
5.161 0.000 0.000
0.000 5.207 0.000
0.000 0.000 7.667
N Re Li Pm
8 2 4 2
Cartesian
4.493 1.765 6.145
4.420 4.057 3.833
1.840 1.150 0.000
1.912 3.442 5.355
2.253 0.797 3.833
1.912 3.442 2.311
4.493 1.765 1.522
4.834 4.410 0.000
2.588 4.200 3.833
0.007 1.007 0.000
2.525 1.502 1.935
5.105 3.705 5.769
5.105 3.705 1.898
2.525 1.502 5.731
2.509 3.752 0.000
5.090 1.455 3.833
```


Entry 24:
First-principles (PBE) data for a relaxed LiPmRe2N6 crystal, as listed in Alexandria via LeMat-Bulk.

Volume: 15.92 A^3/atom
ΔE_f (raw): -391 meV per atom
E: -8.54 eV per atom
DOS(E_F): 0.00 states/eV/atom
Magnetization: 0.0 μB/cell

Cell and atoms, written as POSCAR:
```
LiPmRe2N6
1.0
6.204 0.038 0.040
2.036 7.179 0.008
2.036 -0.258 7.175
N Re Pm Li
12 4 2 2
Cartesian
4.856 6.117 2.797
2.959 4.622 4.479
7.958 2.588 6.236
4.634 6.765 5.663
7.318 2.338 2.744
2.319 4.372 0.987
5.421 0.843 4.425
4.216 2.636 2.419
6.061 4.324 4.804
5.643 0.195 1.559
7.736 5.428 6.990
2.541 1.532 0.233
7.737 4.234 5.635
2.540 2.726 1.588
4.635 5.455 4.420
5.642 1.505 2.803
6.689 0.561 6.443
3.587 6.399 0.780
6.689 5.514 1.671
3.587 1.446 5.552
```


Entry 25:
First-principles (PBE) data for a relaxed LiPm2Re2N6 crystal, as listed in Alexandria via LeMat-Bulk.

Volume: 14.76 A^3/atom
ΔE_f (raw): -427 meV per atom
E: -8.27 eV per atom
DOS(E_F): 0.34 states/eV/atom
Magnetization: 0.0 μB/cell

Cell and atoms, written as POSCAR:
```
LiPm2Re2N6
1.0
-2.735 -1.154 -4.746
1.153 -4.693 -2.824
-4.719 -4.859 0.600
Pm N Li Re
2 6 1 2
Cartesian
-2.124 -3.058 -1.333
-4.176 -7.649 -5.636
-1.144 -5.164 -2.980
-2.558 -5.761 -5.433
-3.742 -4.946 -1.536
-5.156 -5.543 -3.989
-3.155 -3.335 -3.973
-3.146 -7.372 -2.996
0.000 0.000 0.000
-1.848 -4.449 -4.455
-4.452 -6.257 -2.514
```


Entry 26:
First-principles (PBE) data for a relaxed LiPm2SbN crystal, as listed in Alexandria via LeMat-Bulk.

Volume: 21.43 A^3/atom
ΔE_f (raw): -1030 meV per atom
E: -5.80 eV per atom
DOS(E_F): 0.31 states/eV/atom
Magnetization: 0.0 μB/cell

Cell and atoms, written as POSCAR:
```
LiPm2SbN
1.0
4.353 0.000 0.000
0.000 4.962 0.000
0.000 0.000 4.962
Li Pm Sb N
1 2 1 1
Cartesian
2.176 0.000 0.000
0.000 0.000 2.481
0.000 2.481 0.000
2.176 2.481 2.481
0.000 0.000 0.000
```